(1)
# AcHo2P GGA-PBE optimized geometry
data_AcHo2P
_chemical_formula_sum 'Ac1 Ho2 P1'
_symmetry_space_group_name_H-M 'P 1'
_symmetry_Int_Tables_number 1
_symmetry_space_group_name_Hall 'P 1'
_cell_length_a 10.787
_cell_length_b 10.787
_cell_length_c 10.787
_cell_angle_alpha 20.29
_cell_angle_beta 20.29
_cell_angle_gamma 20.29
loop_
_atom_site_label
_atom_site_type_symbol
_atom_site_fract_x
_atom_site_fract_y
_atom_site_fract_z
Ac1 Ac 0.000 0.000 0.000
Ho1 Ho 0.116 0.116 0.116
Ho2 Ho 0.884 0.884 0.884
P1 P 0.500 0.500 0.500
# - DFT formation energy (eV per atom) = -0.58
# - calculated volume (Å³/f.u.) = 132
# - Fermi-level density of states (states/eV per cell) = 4.87



(2)
# AcHoP2 GGA-PBE optimized geometry
data_AcHoP2
_chemical_formula_sum 'Ac1 Ho1 P2'
_symmetry_space_group_name_H-M 'P 1'
_symmetry_Int_Tables_number 1
_symmetry_space_group_name_Hall 'P 1'
_cell_length_a 5.135
_cell_length_b 5.135
_cell_length_c 3.628
_cell_angle_alpha 90.00
_cell_angle_beta 90.00
_cell_angle_gamma 90.00
loop_
_atom_site_label
_atom_site_type_symbol
_atom_site_fract_x
_atom_site_fract_y
_atom_site_fract_z
Ac1 Ac 0.000 0.000 0.000
Ho1 Ho 0.500 0.500 0.000
P1 P 0.000 0.500 0.500
P2 P 0.500 0.000 0.500
# - DFT formation energy (eV per atom) = -0.99
# - calculated volume (Å³/f.u.) = 96
# - Fermi-level density of states (states/eV per cell) = 1.50



(3)
# AcHoP2 GGA-PBE optimized geometry
data_AcHoP2
_chemical_formula_sum 'Ac1 Ho1 P2'
_symmetry_space_group_name_H-M 'P 1'
_symmetry_Int_Tables_number 1
_symmetry_space_group_name_Hall 'P 1'
_cell_length_a 7.576
_cell_length_b 7.576
_cell_length_c 7.576
_cell_angle_alpha 31.70
_cell_angle_beta 31.70
_cell_angle_gamma 31.70
loop_
_atom_site_label
_atom_site_type_symbol
_atom_site_fract_x
_atom_site_fract_y
_atom_site_fract_z
Ac1 Ac 0.000 0.000 0.000
Ho1 Ho 0.829 0.829 0.829
P1 P 0.239 0.239 0.239
P2 P 0.422 0.422 0.422
# - DFT formation energy (eV per atom) = -1.37
# - calculated volume (Å³/f.u.) = 107
# - Fermi-level density of states (states/eV per cell) = 0.21



(4)
# AcHoP2 GGA-PBE optimized geometry
data_AcHoP2
_chemical_formula_sum 'Ac1 Ho1 P2'
_symmetry_space_group_name_H-M 'P 1'
_symmetry_Int_Tables_number 1
_symmetry_space_group_name_Hall 'P 1'
_cell_length_a 5.115
_cell_length_b 5.115
_cell_length_c 5.115
_cell_angle_alpha 60.00
_cell_angle_beta 60.00
_cell_angle_gamma 60.00
loop_
_atom_site_label
_atom_site_type_symbol
_atom_site_fract_x
_atom_site_fract_y
_atom_site_fract_z
Ac1 Ac 0.000 0.000 0.000
Ho1 Ho 0.500 0.500 0.500
P1 P 0.250 0.250 0.250
P2 P 0.750 0.750 0.750
# - DFT formation energy (eV per atom) = -1.04
# - calculated volume (Å³/f.u.) = 95
# - Fermi-level density of states (states/eV per cell) = 1.48



(5)
# AcHoP2Pd2 GGA-PBE optimized geometry
data_AcHoP2Pd2
_chemical_formula_sum 'Ac1 Ho1 P2 Pd2'
_symmetry_space_group_name_H-M 'P 1'
_symmetry_Int_Tables_number 1
_symmetry_space_group_name_Hall 'P 1'
_cell_length_a 4.273
_cell_length_b 4.273
_cell_length_c 7.841
_cell_angle_alpha 90.00
_cell_angle_beta 90.00
_cell_angle_gamma 120.00
loop_
_atom_site_label
_atom_site_type_symbol
_atom_site_fract_x
_atom_site_fract_y
_atom_site_fract_z
Ac1 Ac 0.000 0.000 0.000
Ho1 Ho 0.000 0.000 0.500
P1 P 0.333 0.667 0.271
P2 P 0.667 0.333 0.729
Pd1 Pd 0.333 0.667 0.725
Pd2 Pd 0.667 0.333 0.275
# - DFT formation energy (eV per atom) = -1.23
# - calculated volume (Å³/f.u.) = 124
# - Fermi-level density of states (states/eV per cell) = 1.02



(6)
# AcHoP2Pt2 GGA-PBE optimized geometry
data_AcHoP2Pt2
_chemical_formula_sum 'Ac1 Ho1 P2 Pt2'
_symmetry_space_group_name_H-M 'P 1'
_symmetry_Int_Tables_number 1
_symmetry_space_group_name_Hall 'P 1'
_cell_length_a 4.205
_cell_length_b 4.205
_cell_length_c 8.171
_cell_angle_alpha 90.00
_cell_angle_beta 90.00
_cell_angle_gamma 120.00
loop_
_atom_site_label
_atom_site_type_symbol
_atom_site_fract_x
_atom_site_fract_y
_atom_site_fract_z
Ac1 Ac 0.000 0.000 0.000
Ho1 Ho 0.000 0.000 0.500
P1 P 0.333 0.667 0.265
P2 P 0.667 0.333 0.735
Pt1 Pt 0.333 0.667 0.725
Pt2 Pt 0.667 0.333 0.275
# - DFT formation energy (eV per atom) = -1.33
# - calculated volume (Å³/f.u.) = 125
# - Fermi-level density of states (states/eV per cell) = 1.95



(7)
# Ac2HoP3Rh12 GGA-PBE optimized geometry
data_Ac2HoP3Rh12
_chemical_formula_sum 'Ac2 Ho1 P3 Rh12'
_symmetry_space_group_name_H-M 'P 1'
_symmetry_Int_Tables_number 1
_symmetry_space_group_name_Hall 'P 1'
_cell_length_a 7.208
_cell_length_b 7.208
_cell_length_c 7.208
_cell_angle_alpha 73.29
_cell_angle_beta 73.29
_cell_angle_gamma 73.29
loop_
_atom_site_label
_atom_site_type_symbol
_atom_site_fract_x
_atom_site_fract_y
_atom_site_fract_z
Ac1 Ac 0.107 0.107 0.107
Ac2 Ac 0.893 0.893 0.893
Ho1 Ho 0.500 0.500 0.500
P1 P 0.000 0.500 0.500
P2 P 0.500 0.000 0.500
P3 P 0.500 0.500 0.000
Rh1 Rh 0.125 0.647 0.647
Rh2 Rh 0.178 0.178 0.591
Rh3 Rh 0.178 0.591 0.178
Rh4 Rh 0.353 0.353 0.875
Rh5 Rh 0.353 0.875 0.353
Rh6 Rh 0.409 0.822 0.822
Rh7 Rh 0.591 0.178 0.178
Rh8 Rh 0.647 0.125 0.647
Rh9 Rh 0.647 0.647 0.125
Rh10 Rh 0.822 0.409 0.822
Rh11 Rh 0.822 0.822 0.409
Rh12 Rh 0.875 0.353 0.353
# - DFT formation energy (eV per atom) = -0.31
# - calculated volume (Å³/f.u.) = 335
# - Fermi-level density of states (states/eV per cell) = 16.00



(8)
# AcHoP2S8 GGA-PBE optimized geometry
data_AcHoP2S8
_chemical_formula_sum 'Ac1 Ho1 P2 S8'
_symmetry_space_group_name_H-M 'P 1'
_symmetry_Int_Tables_number 1
_symmetry_space_group_name_Hall 'P 1'
_cell_length_a 6.007
_cell_length_b 6.007
_cell_length_c 9.077
_cell_angle_alpha 90.00
_cell_angle_beta 90.00
_cell_angle_gamma 120.00
loop_
_atom_site_label
_atom_site_type_symbol
_atom_site_fract_x
_atom_site_fract_y
_atom_site_fract_z
Ac1 Ac 0.000 0.000 0.000
Ho1 Ho 0.000 0.000 0.500
P1 P 0.333 0.667 0.767
P2 P 0.667 0.333 0.233
S1 S 0.007 0.333 0.706
S2 S 0.326 0.993 0.706
S3 S 0.333 0.326 0.294
S4 S 0.333 0.667 0.991
S5 S 0.667 0.333 0.009
S6 S 0.667 0.674 0.706
S7 S 0.674 0.007 0.294
S8 S 0.993 0.667 0.294
# - calculated volume (Å³/f.u.) = 284
# - ΔE_f (raw) (eV/atom) = -0.9815
# - Fermi-level density of states (states/eV per cell) = 0.00



Question: calculated volume of number 8 (AcHoP2S8)?
Answer: 284 Å³/f.u.